No. 1
# Zn3TeIr, optimized geometry, DFT PBE
# Formation energy (no corrections): 0.30 eV/atom
# Distance to the lowest polymorph of the same formula: 0.0 meV/atom
# Volume: 22.6 A^3/atom
# Crystal system: cubic
data_Zn3TeIr
_chemical_formula_sum 'Zn3 Te1 Ir1'
_cell_length_a 4.836
_cell_length_b 4.836
_cell_length_c 4.836
_cell_angle_alpha 90.00
_cell_angle_beta 90.00
_cell_angle_gamma 90.00
_space_group_name_H-M_alt 'P m -3 m'
_space_group_IT_number 221
_space_group_name_Hall '-P 4 2 3'
loop_
_atom_site_label
_atom_site_fract_x
_atom_site_fract_y
_atom_site_fract_z
_atom_site_occupancy
Zn1 0.000 0.000 0.500 1
Te1 0.500 0.500 0.500 1
Ir1 0.000 0.000 0.000 1



No. 2
# K3ErSi2O7, optimized geometry, DFT PBE
# Formation energy (no corrections): -2.72 eV/atom
# Volume: 15.7 A^3/atom
# Crystal system: hexagonal
data_K3ErSi2O7
_chemical_formula_sum 'K18 Er6 Si12 O42'
_cell_length_a 9.9064
_cell_length_b 9.9064
_cell_length_c 14.4343
_cell_angle_alpha 90.00
_cell_angle_beta 90.00
_cell_angle_gamma 120.00
_space_group_name_H-M_alt 'P 63/m c m'
_space_group_IT_number 193
_space_group_name_Hall '-P 6c 2'
loop_
_atom_site_label
_atom_site_fract_x
_atom_site_fract_y
_atom_site_fract_z
_atom_site_occupancy
K1 0.0000 0.0000 0.0000 1
K2 0.0000 0.3322 0.0920 1
K3 0.3333 0.6667 0.2500 1
Er1 0.0000 0.0000 0.2500 1
Er2 0.3333 0.6667 0.0000 1
Si1 0.0000 0.3420 0.6425 1
O1 0.0000 0.1768 0.6486 1
O2 0.0000 0.4094 0.7500 1
O3 0.1562 0.4781 0.5910 1



No. 3
# Ru4Rh3, optimized geometry, DFT PBE
# Distance to the lowest polymorph of the same formula: 429.9 meV/atom
# E_form: 0.43 eV/atom
# Volume: 14.7 A^3/atom
# Crystal system: hexagonal
data_Ru4Rh3
_chemical_formula_sum 'Ru4 Rh3'
_cell_length_a 4.9790
_cell_length_b 4.9790
_cell_length_c 4.7820
_cell_angle_alpha 90.00
_cell_angle_beta 90.00
_cell_angle_gamma 120.00
_space_group_name_H-M_alt 'P 6/m m m'
_space_group_IT_number 191
_space_group_name_Hall '-P 6 2'
loop_
_atom_site_label
_atom_site_fract_x
_atom_site_fract_y
_atom_site_fract_z
_atom_site_occupancy
Ru1 0.0000 0.0000 0.2409 1
Ru2 0.3333 0.6667 0.0000 1
Rh1 0.0000 0.5000 0.5000 1



No. 4
# BaCuIr2, optimized geometry, DFT PBE
# Distance to the lowest polymorph of the same formula: 930.0 meV/atom
# E_form: 0.79 eV/atom
# Volume: 19.3 A^3/atom
# Crystal system: tetragonal
data_BaCuIr2
_chemical_formula_sum 'Ba2 Cu2 Ir4'
_cell_length_a 4.145
_cell_length_b 4.145
_cell_length_c 8.992
_cell_angle_alpha 90.00
_cell_angle_beta 90.00
_cell_angle_gamma 90.00
_space_group_name_H-M_alt 'I 4/m m m'
_space_group_IT_number 139
_space_group_name_Hall '-I 4 2'
loop_
_atom_site_label
_atom_site_fract_x
_atom_site_fract_y
_atom_site_fract_z
_atom_site_occupancy
Ba1 0.000 0.000 0.000 1
Cu1 0.000 0.000 0.500 1
Ir1 0.000 0.500 0.250 1



No. 5
# Cs2In3I9, optimized geometry, DFT PBE
# Formation energy (no corrections): -0.71 eV/atom
# Volume: 50.6 A^3/atom
# Crystal system: monoclinic
data_Cs2In3I9
_chemical_formula_sum 'Cs8 In12 I36'
_cell_length_a 13.934
_cell_length_b 19.050
_cell_length_c 12.505
_cell_angle_alpha 90.00
_cell_angle_beta 121.32
_cell_angle_gamma 90.00
_space_group_name_H-M_alt 'C 1 2/m 1'
_space_group_IT_number 12
_space_group_name_Hall '-C 2y'
loop_
_atom_site_label
_atom_site_fract_x
_atom_site_fract_y
_atom_site_fract_z
_atom_site_occupancy
Cs1 0.061 0.169 0.296 1
In1 0.150 0.500 0.815 1
In2 0.181 0.391 0.198 1
I1 0.000 0.290 0.000 1
I2 0.029 0.396 0.319 1
I3 0.131 0.000 0.623 1
I4 0.179 0.225 0.647 1
I5 0.227 0.107 0.994 1
I6 0.235 0.000 0.311 1



No. 6
# BaSbN2, optimized geometry, DFT PBE
# Formation energy (no corrections): 0.35 eV/atom
# Volume: 26.1 A^3/atom
# Crystal system: trigonal
data_BaSbN2
_chemical_formula_sum 'Ba3 Sb3 N6'
_cell_length_a 4.2482
_cell_length_b 4.2482
_cell_length_c 20.0156
_cell_angle_alpha 90.00
_cell_angle_beta 90.00
_cell_angle_gamma 120.00
_space_group_name_H-M_alt 'R -3 m'
_space_group_IT_number 166
_space_group_name_Hall '-R 3 2"'
loop_
_atom_site_label
_atom_site_fract_x
_atom_site_fract_y
_atom_site_fract_z
_atom_site_occupancy
Ba1 0.0000 0.0000 0.0000 1
Sb1 0.0000 0.0000 0.5000 1
N1 0.0000 0.0000 0.4031 1



No. 7
# TlS2F, optimized geometry, DFT PBE
# Formation energy (no corrections): 0.17 eV/atom
# Distance to the lowest polymorph of the same formula: 884.0 meV/atom
# Volume: 17.4 A^3/atom
# Crystal system: cubic
data_TlS2F
_chemical_formula_sum 'Tl4 S8 F4'
_cell_length_a 6.525
_cell_length_b 6.525
_cell_length_c 6.525
_cell_angle_alpha 90.00
_cell_angle_beta 90.00
_cell_angle_gamma 90.00
_space_group_name_H-M_alt 'F m -3 m'
_space_group_IT_number 225
_space_group_name_Hall '-F 4 2 3'
loop_
_atom_site_label
_atom_site_fract_x
_atom_site_fract_y
_atom_site_fract_z
_atom_site_occupancy
Tl1 0.000 0.000 0.000 1
S1 0.250 0.250 0.250 1
F1 0.000 0.000 0.500 1



No. 8
# MoC, optimized geometry, DFT PBE
# Distance to the lowest polymorph of the same formula: 0.0 meV/atom
# E_form: -0.09 eV/atom
# Volume: 10.5 A^3/atom
# Crystal system: hexagonal
data_MoC
_chemical_formula_sum 'Mo1 C1'
_cell_length_a 2.9251
_cell_length_b 2.9251
_cell_length_c 2.8342
_cell_angle_alpha 90.00
_cell_angle_beta 90.00
_cell_angle_gamma 120.00
_space_group_name_H-M_alt 'P -6 m 2'
_space_group_IT_number 187
_space_group_name_Hall 'P -6 2'
loop_
_atom_site_label
_atom_site_fract_x
_atom_site_fract_y
_atom_site_fract_z
_atom_site_occupancy
Mo1 0.0000 0.0000 0.0000 1
C1 0.3333 0.6667 0.5000 1



No. 9
# Re2Sb, optimized geometry, DFT PBE
# Formation energy (no corrections): 0.93 eV/atom
# Distance to the lowest polymorph of the same formula: 725.1 meV/atom
# Volume: 17.0 A^3/atom
# Crystal system: hexagonal
data_Re2Sb
_chemical_formula_sum 'Re4 Sb2'
_cell_length_a 4.6934
_cell_length_b 4.6934
_cell_length_c 5.3486
_cell_angle_alpha 90.00
_cell_angle_beta 90.00
_cell_angle_gamma 120.00
_space_group_name_H-M_alt 'P 63/m m c'
_space_group_IT_number 194
_space_group_name_Hall '-P 6c 2c'
loop_
_atom_site_label
_atom_site_fract_x
_atom_site_fract_y
_atom_site_fract_z
_atom_site_occupancy
Re1 0.0000 0.0000 0.0000 1
Re2 0.3333 0.6667 0.2500 1
Sb1 0.3333 0.6667 0.7500 1



No. 10
# SmEu2Ho, optimized geometry, DFT PBE
# Distance to the lowest polymorph of the same formula: 50.7 meV/atom
# E_form: 0.16 eV/atom
# Volume: 35.9 A^3/atom
# Crystal system: tetragonal
data_SmEu2Ho
_chemical_formula_sum 'Sm1 Eu2 Ho1'
_cell_length_a 5.890
_cell_length_b 5.890
_cell_length_c 4.134
_cell_angle_alpha 90.00
_cell_angle_beta 90.00
_cell_angle_gamma 90.00
_space_group_name_H-M_alt 'P 4/m m m'
_space_group_IT_number 123
_space_group_name_Hall '-P 4 2'
loop_
_atom_site_label
_atom_site_fract_x
_atom_site_fract_y
_atom_site_fract_z
_atom_site_occupancy
Sm1 0.000 0.000 0.000 1
Eu1 0.000 0.500 0.500 1
Ho1 0.500 0.500 0.000 1



No. 11
# MnCr2P, optimized geometry, DFT PBE
# E_form: 0.05 eV/atom
# Volume: 11.7 A^3/atom
# Crystal system: orthorhombic
data_MnCr2P
_chemical_formula_sum 'Mn2 Cr4 P2'
_cell_length_a 3.041
_cell_length_b 4.195
_cell_length_c 7.314
_cell_angle_alpha 90.00
_cell_angle_beta 90.00
_cell_angle_gamma 90.00
_space_group_name_H-M_alt 'C m m 2'
_space_group_IT_number 35
_space_group_name_Hall 'C 2 -2'
loop_
_atom_site_label
_atom_site_fract_x
_atom_site_fract_y
_atom_site_fract_z
_atom_site_occupancy
Mn1 0.000 0.000 0.000 1
Cr1 0.000 0.000 0.525 1
Cr2 0.000 0.500 0.264 1
P1 0.000 0.500 0.767 1



No. 12
# Rb2TiW, optimized geometry, DFT PBE
# Distance to the lowest polymorph of the same formula: 623.7 meV/atom
# E_form: 2.30 eV/atom
# Volume: 37.0 A^3/atom
# Crystal system: cubic
data_Rb2TiW
_chemical_formula_sum 'Rb8 Ti4 W4'
_cell_length_a 8.395
_cell_length_b 8.395
_cell_length_c 8.395
_cell_angle_alpha 90.00
_cell_angle_beta 90.00
_cell_angle_gamma 90.00
_space_group_name_H-M_alt 'F m -3 m'
_space_group_IT_number 225
_space_group_name_Hall '-F 4 2 3'
loop_
_atom_site_label
_atom_site_fract_x
_atom_site_fract_y
_atom_site_fract_z
_atom_site_occupancy
Rb1 0.250 0.250 0.250 1
Ti1 0.000 0.000 0.000 1
W1 0.000 0.000 0.500 1